Below is KCdBr after structural relaxation, with properties calculated at the PBE level.

Computed properties:
The total energy comes out at -0.0757 hartree per atom. Its excess energy over the best structure of this formula in the dataset is 0.0335 eV per atom.

Unit cell a=4.8215 b=4.8215 c=6.3441 alpha=90.00 beta=90.00 gamma=120.00
With the nearest neighbours (Å) after each atom.
Element x y z (fractional)
K: 0.0000 0.0000 0.0000  3 Br 3.20
Cd: 0.3333 0.6667 0.5850  3 Br 3.51, 3 K 3.83
Br: 0.6667 0.3333 0.2487  3 K 3.20, 3 Cd 3.51